A.
A plane-wave DFT calculation with PBE-GGA was carried out for a geometry-optimized AcCoGe structure.

Cell and atoms, written as POSCAR:
```
AcCoGe
1.0
0.000 3.281 3.281
3.281 0.000 3.281
3.281 3.281 0.000
Ac Co Ge
1 1 1
direct
0.000 0.000 0.000 Ac
0.250 0.250 0.250 Co
0.500 0.500 0.500 Ge
```

Properties
- total magnetic moment (μB per formula unit) = 1.3

B.
A plane-wave DFT calculation with PBE-GGA was carried out for a geometry-optimized AcCoGe structure.

Cell and atoms, written as POSCAR:
```
AcCoGe
1.0
0.000 3.485 3.485
3.485 0.000 3.485
3.485 3.485 0.000
Ac Co Ge
1 1 1
direct
0.000 0.000 0.000 Ac
0.750 0.750 0.750 Co
0.250 0.250 0.250 Ge
```

Properties
- total magnetic moment (μB per formula unit) = 1.8

Least stable = B

A.
A plane-wave DFT calculation with PBE-GGA was carried out for a geometry-optimized AcHoCo structure.

Cell and atoms, written as POSCAR:
```
AcHoCo
1.0
0.000 3.471 3.471
3.471 0.000 3.471
3.471 3.471 0.000
Ac Ho Co
1 1 1
direct
0.000 0.000 0.000 Ac
0.500 0.500 0.500 Ho
0.250 0.250 0.250 Co
```

Properties
- total magnetic moment (μB per formula unit) = 0.0

B.
A plane-wave DFT calculation with PBE-GGA was carried out for a geometry-optimized AcHoCo structure.

Cell and atoms, written as POSCAR:
```
AcHoCo
1.0
5.154 0.000 0.000
-2.577 4.464 0.000
0.000 0.000 9.701
Ac Ho Co
3 3 3
direct
0.000 0.000 0.000 Ac
0.333 0.667 0.330 Ac
0.333 0.667 0.670 Ac
0.000 0.000 0.343 Ho
0.000 0.000 0.657 Ho
0.333 0.667 0.000 Ho
0.667 0.333 0.148 Co
0.667 0.333 0.500 Co
0.667 0.333 0.852 Co
```

Properties
- total magnetic moment (μB per formula unit) = 0.2

Least stable = B

A.
A plane-wave DFT calculation with PBE-GGA was carried out for a geometry-optimized NaAcCo structure.

Cell and atoms, written as POSCAR:
```
NaAcCo
1.0
0.000 3.439 3.439
3.439 0.000 3.439
3.439 3.439 0.000
Na Ac Co
1 1 1
direct
0.000 0.000 0.000 Na
0.500 0.500 0.500 Ac
0.750 0.750 0.750 Co
```

Properties
- total magnetic moment (μB per formula unit) = 0.5

B.
A plane-wave DFT calculation with PBE-GGA was carried out for a geometry-optimized NaAcCo structure.

Cell and atoms, written as POSCAR:
```
NaAcCo
1.0
3.301 0.000 0.000
0.000 7.588 4.391
0.000 -7.588 4.391
Na Ac Co
3 3 3
direct
0.000 0.000 0.000 Na
0.000 0.334 0.667 Na
0.000 0.667 0.334 Na
0.000 0.001 0.667 Ac
0.000 0.333 0.333 Ac
0.000 0.667 0.001 Ac
0.500 0.000 0.334 Co
0.500 0.334 0.000 Co
0.500 0.667 0.667 Co
```

Properties
- total magnetic moment (μB per formula unit) = 0.9

Least stable = B